Entry 1:
A plane-wave DFT calculation with PBE was carried out for a relaxed structure of RbGeRu2.

Unit cell a=9.343 b=9.343 c=9.343 alpha=149.68 beta=149.68 gamma=43.41
Fractional coordinates of all 8 atoms:
Rb1 0.000 0.000 0.000
Rb2 0.750 0.250 0.500
Ge1 0.250 0.750 0.500
Ge2 0.500 0.500 0.000
Ru1 0.352 0.625 0.227
Ru2 0.375 0.602 0.727
Ru3 0.398 0.125 0.773
Ru4 0.875 0.648 0.273

Entry 2:
A plane-wave DFT calculation with PBE was carried out for a relaxed structure of MnNb2Ir.

Unit cell a=2.988 b=2.988 c=6.912 alpha=90.00 beta=90.00 gamma=90.00
Fractional coordinates of all 4 atoms:
Mn1 0.000 0.000 0.000
Nb1 0.500 0.500 0.228
Nb2 0.500 0.500 0.772
Ir1 0.000 0.000 0.500

Values of energy of formation from the pure elements, in order: 0.79; -0.22, all in eV/atom.